(1)
## LiB4Mo (PBE-GGA)

Data for a relaxed structure of LiB4Mo.

Structure (POSCAR):
```
LiB4Mo
1.0
-2.741 -2.671 -1.326
1.117 -3.802 -0.837
-1.194 -3.036 2.400
Mo B Li
1 4 1
direct
0.250 0.250 0.250 Mo
0.632 0.632 0.105 B
0.632 0.105 0.632 B
0.632 0.632 0.632 B
0.105 0.632 0.632 B
0.000 0.000 0.000 Li
```

Results
* polymorph energy (0 for the lowest one): 0.447 eV per atom
* spin magnetization: 0.56 Bohr magnetons per cell

=====

(2)
## PmPrTlSi (PBE-GGA)

Data for a relaxed structure of PmPrTlSi.

Structure (POSCAR):
```
PmPrTlSi
1.0
-4.287 2.292 2.213
-0.525 0.110 5.314
0.503 4.617 2.638
Pr Tl Si Pm
1 1 1 1
direct
0.500 0.500 0.500 Pr
0.250 0.250 0.250 Tl
0.750 0.750 0.750 Si
0.000 0.000 0.000 Pm
```

Results
* spin magnetization: 0.00 Bohr magnetons per cell
* formation energy without anion corrections: -1.4 eV per formula unit

=====

(3)
## Pr5Mg2In (PBE-GGA)

Data for a relaxed structure of Pr5Mg2In.

Structure (POSCAR):
```
Pr5Mg2In
1.0
-5.146 -4.547 0.318
2.529 0.519 -6.371
5.035 -2.123 4.169
Pr Mg In
5 2 1
direct
0.278 0.278 0.500 Pr
0.278 0.778 0.000 Pr
0.778 0.278 0.000 Pr
0.778 0.778 0.500 Pr
0.277 0.277 0.000 Pr
0.278 0.778 0.500 Mg
0.778 0.278 0.500 Mg
0.779 0.778 0.000 In
```

Results
* polymorph energy (0 for the lowest one): 0.000 eV per atom
* spin magnetization: 0.00 Bohr magnetons per cell

=====

(4)
## BiSCl2 (PBE-GGA)

Data for a relaxed structure of BiSCl2.

Structure (POSCAR):
```
BiSCl2
1.0
2.088 0.000 9.792
-1.044 1.809 9.792
-1.044 -1.809 9.792
S Bi Cl
1 1 2
direct
0.500 0.500 0.500 S
0.000 0.000 0.000 Bi
0.911 0.911 0.911 Cl
0.089 0.089 0.089 Cl
```

Results
* polymorph energy (0 for the lowest one): 0.854 eV per atom
* spin magnetization: 2.35 Bohr magnetons per cell
* formation energy without anion corrections: 1.3 eV per formula unit

=====

(5)
## ZnGe4 (PBE-GGA)

Data for a relaxed structure of ZnGe4.

Structure (POSCAR):
```
ZnGe4
1.0
-1.024 -4.663 0.781
4.544 -1.191 -1.155
1.306 0.489 4.633
Zn Ge
1 4
direct
0.500 0.500 0.500 Zn
0.000 0.000 0.000 Ge
0.500 0.000 0.500 Ge
0.000 0.500 0.500 Ge
0.500 0.500 0.000 Ge
```

Results
* spin magnetization: 0.00 Bohr magnetons per cell

=====

(6)
## GaRuRh2 (PBE-GGA)

Data for a relaxed structure of GaRuRh2.

Structure (POSCAR):
```
GaRuRh2
1.0
4.335 0.000 0.000
2.167 3.754 0.000
2.167 1.251 3.521
Ga Ru Rh
1 1 2
direct
0.750 0.750 0.749 Ga
0.503 0.503 0.490 Ru
0.997 0.997 0.009 Rh
0.250 0.250 0.251 Rh
```

Results
* spin magnetization: 0.00 Bohr magnetons per cell

=====

For each record above, in turn, the calculated VASP energy values are -6.442; -4.673; -3.864; -2.606; -3.282; -6.811 eV/atom.